DFT (PBE) results for a relaxed structure of Sr3H6Rh.

Summary:
Its space-group type is No. 148. As for the total energy: -71.09 eV per cell. For the volume, the calculation gives 15.49 Å³/atom.

abc: 6.7699 6.7699 6.7699
angles: 91.92 91.92 91.92
Closest atoms and distances in Å follow each position.
Element x y z (fractional)
Sr (0.0529, 0.7522, 0.5657)  6 H 2.49-2.60
Sr (0.2478, 0.4343, 0.9471)  6 H 2.49-2.60
Sr (0.4343, 0.9471, 0.2478)  6 H 2.49-2.60
Sr (0.5657, 0.0529, 0.7522)  6 H 2.49-2.60
Sr (0.7522, 0.5657, 0.0529)  6 H 2.49-2.60
Sr (0.9471, 0.2478, 0.4343)  6 H 2.49-2.60
H (0.0454, 0.7514, 0.9326)  1 Rh 1.77
H (0.0674, 0.9546, 0.2486)  1 Rh 1.77
H (0.2486, 0.0674, 0.9546)  1 Rh 1.77
H (0.2572, 0.4333, 0.5661)  1 Rh 1.77
H (0.4333, 0.5661, 0.2572)  1 Rh 1.77
H (0.4339, 0.7428, 0.5667)  1 Rh 1.77
H (0.5661, 0.2572, 0.4333)  1 Rh 1.77
H (0.5667, 0.4339, 0.7428)  1 Rh 1.77
H (0.7428, 0.5667, 0.4339)  1 Rh 1.77
H (0.7514, 0.9326, 0.0454)  1 Rh 1.77
H (0.9326, 0.0454, 0.7514)  1 Rh 1.77
H (0.9546, 0.2486, 0.0674)  1 Rh 1.77
Rh (0.0000, 0.0000, 0.0000)  6 H 1.77
Rh (0.5000, 0.5000, 0.5000)  6 H 1.77